P.
Dy4GaCu2 PBE relaxed; SG = P1 (1)
1.0
7.152 0.000 0.000
-2.290 7.014 0.000
-2.244 -3.340 6.632
Dy Ga Cu
8 2 4
direct
0.000 0.000 0.000
0.066 0.594 0.191
0.255 0.378 0.843
0.375 0.133 0.458
0.452 0.732 0.660
0.592 0.183 0.066
0.739 0.884 0.340
0.870 0.527 0.591
0.420 0.447 0.277
0.775 0.186 0.759
0.063 0.304 0.384
0.158 0.929 0.661
0.281 0.800 0.992
0.690 0.540 0.885



Q.
Dy4GaCu2 PBE relaxed; SG = R-3m (166)
1.0
2.463 1.422 7.913
-2.463 1.422 7.913
0.000 -2.844 7.913
Dy Ga Cu
4 1 2
direct
0.119 0.119 0.119
0.372 0.372 0.372
0.628 0.628 0.628
0.881 0.881 0.881
0.500 0.500 0.500
0.246 0.246 0.246
0.754 0.754 0.754



Stability check: which of them is most stable? P.



P.
DyGaCu3 PBE relaxed; SG = Pbam (55)
1.0
5.633 0.000 0.000
0.000 7.284 0.000
0.000 0.000 4.522
Dy Ga Cu
2 2 6
direct
0.000 0.000 0.000
0.500 0.500 0.000
0.000 0.500 0.500
0.500 0.000 0.500
0.000 0.500 0.000
0.245 0.247 0.500
0.255 0.747 0.500
0.500 0.000 0.000
0.745 0.253 0.500
0.755 0.753 0.500



Q.
DyGaCu3 PBE relaxed; SG = Imma (74)
1.0
-2.512 3.509 4.652
2.512 -3.509 4.652
2.512 3.509 -4.652
Dy Ga Cu
2 2 6
direct
0.257 0.007 0.250
0.743 0.993 0.750
0.000 0.500 0.500
0.500 0.500 0.000
0.190 0.000 0.690
0.190 0.500 0.190
0.438 0.688 0.750
0.562 0.312 0.250
0.810 0.000 0.310
0.810 0.500 0.810



Stability check: which of them is most stable? Q.



P.
Dy2Ga2Cu PBE relaxed; SG = C2/m (12)
1.0
5.227 -2.173 0.000
5.227 2.173 0.000
-4.965 0.000 9.262
Dy Ga Cu
4 4 2
direct
0.018 0.018 0.333
0.188 0.188 0.108
0.812 0.812 0.892
0.982 0.982 0.667
0.356 0.356 0.437
0.480 0.480 0.116
0.520 0.520 0.884
0.644 0.644 0.563
0.273 0.273 0.654
0.727 0.727 0.346



Q.
Dy2Ga2Cu PBE relaxed; SG = Ibam (72)
1.0
-3.131 6.125 2.961
3.131 -6.125 2.961
3.131 6.125 -2.961
Dy Ga Cu
4 4 2
direct
0.147 0.206 0.353
0.353 0.706 0.059
0.647 0.294 0.941
0.853 0.794 0.647
0.109 0.728 0.836
0.391 0.228 0.619
0.609 0.772 0.381
0.891 0.272 0.164
0.250 0.750 0.500
0.750 0.250 0.500



Stability check: which of them is most stable? P.



P.
DyGa2Cu4 PBE relaxed; SG = P4_2/mnm (136)
1.0
7.308 0.000 0.000
0.000 7.308 0.000
0.000 0.000 4.050
Dy Ga Cu
2 4 8
direct
0.000 0.000 0.000
0.500 0.500 0.500
0.212 0.212 0.500
0.288 0.712 0.000
0.712 0.288 0.000
0.788 0.788 0.500
0.097 0.646 0.500
0.146 0.403 0.000
0.354 0.903 0.500
0.403 0.146 0.000
0.597 0.854 0.000
0.646 0.097 0.500
0.854 0.597 0.000
0.903 0.354 0.500



Q.
DyGa2Cu4 PBE relaxed; SG = I4/mmm (139)
1.0
-3.600 3.600 2.671
3.600 -3.600 2.671
3.600 3.600 -2.671
Dy Ga Cu
1 2 4
direct
0.000 0.000 0.000
0.250 0.750 0.500
0.750 0.250 0.500
0.273 0.500 0.773
0.500 0.273 0.773
0.500 0.727 0.227
0.727 0.500 0.227



Stability check: which of them is most stable? P.



P.
DyGaCuNi PBE relaxed; SG = R3m (160)
1.0
2.107 1.217 4.472
-2.107 1.217 4.472
0.000 -2.433 4.472
Dy Ga Cu Ni
1 1 1 1
direct
0.000 0.000 0.000
0.514 0.514 0.514
0.793 0.793 0.793
0.204 0.204 0.204



Q.
DyGaCuNi PBE relaxed; SG = F-43m (216)
1.0
0.000 3.189 3.189
3.189 0.000 3.189
3.189 3.189 0.000
Dy Ga Cu Ni
1 1 1 1
direct
0.000 0.000 0.000
0.500 0.500 0.500
0.250 0.250 0.250
0.750 0.750 0.750



Stability check: which of them is most stable? P.



P.
GdDy2Cu PBE relaxed; SG = P4/mmm (123)
1.0
3.497 0.000 0.000
0.000 3.497 0.000
0.000 0.000 8.696
Gd Dy Cu
1 2 1
direct
0.000 0.000 0.000
0.500 0.500 0.305
0.500 0.500 0.695
0.000 0.000 0.500



Q.
GdDy2Cu PBE relaxed; SG = R-3m (166)
1.0
1.791 1.034 9.947
-1.791 1.034 9.947
0.000 -2.069 9.947
Gd Dy Cu
1 2 1
direct
0.000 0.000 0.000
0.234 0.234 0.234
0.766 0.766 0.766
0.500 0.500 0.500



Stability check: which of them is most stable? P.



P.
Dy2CuGe3 PBE relaxed; SG = Fmmm (69)
1.0
0.000 4.157 7.180
4.028 0.000 7.180
4.028 4.157 0.000
Dy Cu Ge
4 2 6
direct
0.242 0.758 0.758
0.250 0.250 0.250
0.750 0.750 0.750
0.758 0.242 0.242
0.333 0.333 0.667
0.667 0.667 0.333
0.170 0.170 0.830
0.175 0.653 0.347
0.347 0.825 0.175
0.653 0.175 0.825
0.825 0.347 0.653
0.830 0.830 0.170



Q.
Dy2CuGe3 PBE relaxed; SG = Pmm2 (25)
1.0
4.024 0.000 0.000
0.000 4.239 0.000
0.000 0.000 7.093
Dy Cu Ge
2 1 3
direct
0.000 0.000 0.000
0.000 0.500 0.492
0.500 0.500 0.820
0.500 0.000 0.332
0.500 0.000 0.680
0.500 0.500 0.149



Stability check: which of them is most stable? P.



P.
Dy2HfCu PBE relaxed; SG = R-3m (166)
1.0
1.602 0.925 10.972
-1.602 0.925 10.972
0.000 -1.850 10.972
Dy Hf Cu
2 1 1
direct
0.097 0.097 0.097
0.903 0.903 0.903
0.000 0.000 0.000
0.500 0.500 0.500



Q.
Dy2HfCu PBE relaxed; SG = P4/mmm (123)
1.0
3.371 0.000 0.000
0.000 3.371 0.000
0.000 0.000 8.279
Dy Hf Cu
2 1 1
direct
0.000 0.000 0.221
0.000 0.000 0.779
0.500 0.500 0.500
0.500 0.500 0.000



Stability check: which of them is most stable? Q.



P.
DyHfCu PBE relaxed; SG = R-3m (166)
1.0
2.546 1.470 5.859
-2.546 1.470 5.859
0.000 -2.940 5.859
Dy Hf Cu
2 2 2
direct
0.106 0.106 0.106
0.894 0.894 0.894
0.406 0.406 0.406
0.594 0.594 0.594
0.262 0.262 0.262
0.738 0.738 0.738



Q.
DyHfCu PBE relaxed; SG = I4mm (107)
1.0
-1.660 1.660 5.810
1.660 -1.660 5.810
1.660 1.660 -5.810
Dy Hf Cu
1 1 1
direct
0.000 0.000 0.000
0.302 0.302 0.000
0.677 0.677 0.000



Stability check: which of them is most stable? Q.



P.
Dy4Cu2Hg PBE relaxed; SG = R-3m (166)
1.0
2.501 1.444 7.993
-2.501 1.444 7.993
0.000 -2.888 7.993
Dy Cu Hg
4 2 1
direct
0.117 0.117 0.117
0.370 0.370 0.370
0.630 0.630 0.630
0.883 0.883 0.883
0.249 0.249 0.249
0.751 0.751 0.751
0.500 0.500 0.500



Q.
Dy4Cu2Hg PBE relaxed; SG = P1 (1)
1.0
7.028 0.000 0.000
-1.914 6.945 0.000
-2.284 -3.190 7.083
Dy Cu Hg
8 4 2
direct
0.000 0.000 0.000
0.015 0.413 0.814
0.244 0.780 0.649
0.355 0.537 0.260
0.437 0.134 0.459
0.571 0.544 0.888
0.785 0.358 0.226
0.868 0.947 0.408
0.051 0.723 0.197
0.162 0.345 0.483
0.338 0.196 0.917
0.651 0.121 0.821
0.437 0.895 0.077
0.750 0.636 0.601



Stability check: which of them is most stable? Q.



P.
PmDyCuHg PBE relaxed; SG = F-43m (216)
1.0
0.000 3.660 3.660
3.660 0.000 3.660
3.660 3.660 0.000
Pm Dy Cu Hg
1 1 1 1
direct
0.000 0.000 0.000
0.500 0.500 0.500
0.250 0.250 0.250
0.750 0.750 0.750



Q.
PmDyCuHg PBE relaxed; SG = P4mm (99)
1.0
3.598 0.000 0.000
0.000 3.598 0.000
0.000 0.000 7.490
Pm Dy Cu Hg
1 1 1 1
direct
0.000 0.000 0.000
0.000 0.000 0.457
0.500 0.500 0.246
0.500 0.500 0.718



Stability check: which of them is most stable? Q.



P.
TbDyCuHg PBE relaxed; SG = P4mm (99)
1.0
3.560 0.000 0.000
0.000 3.560 0.000
0.000 0.000 7.418
Tb Dy Cu Hg
1 1 1 1
direct
0.000 0.000 0.000
0.000 0.000 0.456
0.500 0.500 0.230
0.500 0.500 0.726



Q.
TbDyCuHg PBE relaxed; SG = F-43m (216)
1.0
0.000 3.619 3.619
3.619 0.000 3.619
3.619 3.619 0.000
Tb Dy Cu Hg
1 1 1 1
direct
0.000 0.000 0.000
0.500 0.500 0.500
0.250 0.250 0.250
0.750 0.750 0.750



Stability check: which of them is most stable? P.



P.
DyTmCuHg PBE relaxed; SG = P4mm (99)
1.0
3.509 0.000 0.000
0.000 3.509 0.000
0.000 0.000 7.429
Dy Tm Cu Hg
1 1 1 1
direct
0.000 0.000 0.000
0.000 0.000 0.548
0.500 0.500 0.766
0.500 0.500 0.279



Q.
DyTmCuHg PBE relaxed; SG = F-43m (216)
1.0
0.000 3.587 3.587
3.587 0.000 3.587
3.587 3.587 0.000
Dy Tm Cu Hg
1 1 1 1
direct
0.000 0.000 0.000
0.500 0.500 0.500
0.250 0.250 0.250
0.750 0.750 0.750



Stability check: which of them is most stable? P.